The following is a DFT calculation (SCAN) of a crystal of CuIrC2 relaxed with PBEsol.

Lattice parameters (Å, degrees): 5.5204 5.5204 5.5204 131.13 131.13 71.61
Fractional positions:
1 Cu 0.0000 0.0000 0.0000
2 Cu 0.7500 0.2500 0.5000
3 Ir 0.2500 0.7500 0.5000
4 Ir 0.5000 0.5000 0.0000
5 C 0.1353 0.6250 0.0103
6 C 0.3750 0.3853 0.5103
7 C 0.6147 0.1250 0.9897
8 C 0.8750 0.8647 0.4897

- total energy (eV/atom) = -25.6747
- total moment (Bohr magnetons per cell) = 0.0
- SG = I-42d, No. 122